(1)
Density functional theory data (PBE-GGA) for a relaxed structure of Zn2FePt2.

The structure belongs to space group P4/mbm (No. 127); the cell edges are 7.3217, 7.3217 and 2.8118 Å and the angles 90.00°, 90.00° and 90.00°. The distinct sites, in fractional coordinates, are Zn at (0.1239, 0.3761, 0.0000), Fe at (0.0000, 0.0000, 0.0000) and Pt at (0.1749, 0.6749, 0.5000).

For the size of the total moment, the calculation gives 0.6640 μB per atom. The calculation puts the density at 12.709 g/cm³.

***

(2)
Density functional theory data (PBE-GGA) for a relaxed structure of Zn2FePt2.

The structure belongs to space group P4/mbm (No. 127); the cell edges are 7.3139, 7.3139 and 2.8711 Å and the angles 90.00°, 90.00° and 90.00°. The distinct sites, in fractional coordinates, are Zn at (0.1465, 0.3535, 0.0000), Fe at (0.0000, 0.0000, 0.5000) and Pt at (0.1527, 0.6527, 0.5000).

For the size of the total moment, the calculation gives 0.6687 μB per atom. The calculation puts the density at 12.473 g/cm³.

***

Most stable structure: (1)

***

(1)
Density functional theory data (PBE-GGA) for a relaxed structure of ZrFe3Pt.

The structure belongs to space group Pm-3m (No. 221); the cell edges are 4.6332, 4.6332 and 4.6332 Å and the angles 90.00°, 90.00° and 90.00°. The distinct sites, in fractional coordinates, are Zr at (0.0000, 0.0000, 0.0000), Fe at (0.0000, 0.5000, 0.5000) and Pt at (0.5000, 0.5000, 0.5000).

For the size of the total moment, the calculation gives 1.5351 μB per atom. The calculation puts the density at 7.577 g/cm³.

***

(2)
Density functional theory data (PBE-GGA) for a relaxed structure of ZrFe3Pt.

The structure belongs to space group Pm-3m (No. 221); the cell edges are 4.4726, 4.4726 and 4.4726 Å and the angles 90.00°, 90.00° and 90.00°. The distinct sites, in fractional coordinates, are Zr at (0.0000, 0.0000, 0.0000), Fe at (0.0000, 0.0000, 0.5000) and Pt at (0.5000, 0.5000, 0.5000).

For the size of the total moment, the calculation gives 1.2121 μB per atom. The calculation puts the density at 8.423 g/cm³.

***

Most stable structure: (1)

***

(1)
Density functional theory data (PBE-GGA) for a relaxed structure of Zr4FePt.

The structure belongs to space group F-43m (No. 216); the cell edges are 7.8754, 7.8754 and 7.8754 Å and the angles 90.00°, 90.00° and 90.00°. The distinct sites, in fractional coordinates, are Zr at (0.1253, 0.1253, 0.1253), Fe at (0.2500, 0.2500, 0.7500) and Pt at (0.0000, 0.0000, 0.5000).

For the size of the total moment, the calculation gives 0.4093 μB per atom. The calculation puts the density at 8.374 g/cm³.

***

(2)
Density functional theory data (PBE-GGA) for a relaxed structure of Zr4FePt.

The structure belongs to space group P4/mcc (No. 124); the cell edges are 6.4853, 6.4853 and 5.6255 Å and the angles 90.00°, 90.00° and 90.00°. The distinct sites, in fractional coordinates, are Zr at (0.1572, 0.3174, 0.0000), Fe at (0.0000, 0.0000, 0.2500) and Pt at (0.5000, 0.5000, 0.2500).

For the size of the total moment, the calculation gives 0.0000 μB per atom. The calculation puts the density at 8.644 g/cm³.

***

Most stable structure: (2)

***

(1)
Density functional theory data (PBE-GGA) for a relaxed structure of PuFeRh.

The structure belongs to space group P3m1 (No. 156); the cell edges are 4.4704, 4.4704 and 3.0695 Å and the angles 90.00°, 90.00° and 120.00°. The distinct sites, in fractional coordinates, are Pu at (0.0000, 0.0000, 0.0000), Fe at (0.6667, 0.3333, 0.5022) and Rh at (0.3333, 0.6667, 0.4972).

For the size of the total moment, the calculation gives 2.5759 μB per atom. The calculation puts the density at 12.589 g/cm³.

***

(2)
Density functional theory data (PBE-GGA) for a relaxed structure of PuFeRh.

The structure belongs to space group Imma (No. 74); the cell edges are 4.8165, 5.5868 and 7.5561 Å and the angles 90.00°, 90.00° and 90.00°. The distinct sites, in fractional coordinates, are Pu at (0.0000, 0.2500, 0.1281), Fe at (0.2500, 0.2500, 0.7500) and Rh at (0.0000, 0.0000, 0.5000).

For the size of the total moment, the calculation gives 2.4186 μB per atom. The calculation puts the density at 13.157 g/cm³.

***

Most stable structure: (2)

***

(1)
Density functional theory data (PBE-GGA) for a relaxed structure of PuFeRh.

The structure belongs to space group P6_3/mmc (No. 194); the cell edges are 4.4568, 4.4568 and 5.6648 Å and the angles 90.00°, 90.00° and 120.00°. The distinct sites, in fractional coordinates, are Pu at (0.3333, 0.6667, 0.2500), Fe at (0.3333, 0.6667, 0.7500) and Rh at (0.0000, 0.0000, 0.0000).

For the size of the total moment, the calculation gives 0.9452 μB per atom. The calculation puts the density at 13.725 g/cm³.

***

(2)
Density functional theory data (PBE-GGA) for a relaxed structure of PuFeRh.

The structure belongs to space group I4mm (No. 107); the cell edges are 3.6528, 3.6528 and 7.7863 Å and the angles 90.00°, 90.00° and 90.00°. The distinct sites, in fractional coordinates, are Pu at (0.0000, 0.0000, 0.0000), Fe at (0.0000, 0.0000, 0.3013) and Rh at (0.0000, 0.0000, 0.6665).

For the size of the total moment, the calculation gives 0.8882 μB per atom. The calculation puts the density at 12.874 g/cm³.

***

Most stable structure: (1)

***

(1)
Density functional theory data (PBE-GGA) for a relaxed structure of PuFe2Ru.

The structure belongs to space group P4/mmm (No. 123); the cell edges are 3.8054, 3.8054 and 4.2128 Å and the angles 90.00°, 90.00° and 90.00°. The distinct sites, in fractional coordinates, are Pu at (0.0000, 0.0000, 0.0000), Fe at (0.0000, 0.5000, 0.5000) and Ru at (0.5000, 0.5000, 0.0000).

For the size of the total moment, the calculation gives 0.3329 μB per atom. The calculation puts the density at 12.433 g/cm³.

***

(2)
Density functional theory data (PBE-GGA) for a relaxed structure of PuFe2Ru.

The structure belongs to space group Fm-3m (No. 225); the cell edges are 6.2071, 6.2071 and 6.2071 Å and the angles 90.00°, 90.00° and 90.00°. The distinct sites, in fractional coordinates, are Pu at (0.0000, 0.0000, 0.0000), Fe at (0.2500, 0.2500, 0.2500) and Ru at (0.0000, 0.0000, 0.5000).

For the size of the total moment, the calculation gives 0.0042 μB per atom. The calculation puts the density at 12.686 g/cm³.

***

Most stable structure: (1)

***

(1)
Density functional theory data (PBE-GGA) for a relaxed structure of PuSc2Fe.

The structure belongs to space group Fm-3m (No. 225); the cell edges are 6.8552, 6.8552 and 6.8552 Å and the angles 90.00°, 90.00° and 90.00°. The distinct sites, in fractional coordinates, are Pu at (0.0000, 0.0000, 0.0000), Sc at (0.2500, 0.2500, 0.2500) and Fe at (0.0000, 0.0000, 0.5000).

For the size of the total moment, the calculation gives 1.1431 μB per atom. The calculation puts the density at 8.036 g/cm³.

***

(2)
Density functional theory data (PBE-GGA) for a relaxed structure of PuSc2Fe.

The structure belongs to space group P4/mmm (No. 123); the cell edges are 3.1285, 3.1285 and 8.4128 Å and the angles 90.00°, 90.00° and 90.00°. The distinct sites, in fractional coordinates, are Pu at (0.0000, 0.0000, 0.0000), Sc at (0.5000, 0.5000, 0.3217) and Fe at (0.0000, 0.0000, 0.5000).

For the size of the total moment, the calculation gives 1.5740 μB per atom. The calculation puts the density at 7.860 g/cm³.

***

Most stable structure: (2)

***

(1)
Density functional theory data (PBE-GGA) for a relaxed structure of PuFeSiTc.

The structure belongs to space group F-43m (No. 216); the cell edges are 6.2421, 6.2421 and 6.2421 Å and the angles 90.00°, 90.00° and 90.00°. The distinct sites, in fractional coordinates, are Pu at (0.0000, 0.0000, 0.0000), Fe at (0.2500, 0.2500, 0.7500), Si at (0.0000, 0.0000, 0.5000) and Tc at (0.2500, 0.2500, 0.2500).

For the size of the total moment, the calculation gives 0.7745 μB per atom. The calculation puts the density at 11.632 g/cm³.

***

(2)
Density functional theory data (PBE-GGA) for a relaxed structure of PuFeSiTc.

The structure belongs to space group R3m (No. 160, hexagonal axes); the cell edges are 4.1117, 4.1117 and 14.5783 Å and the angles 90.00°, 90.00° and 120.00°. The distinct sites, in fractional coordinates, are Pu at (0.0000, 0.0000, 0.0000), Fe at (0.0000, 0.0000, 0.8019), Si at (0.0000, 0.0000, 0.2080) and Tc at (0.0000, 0.0000, 0.4917).

For the size of the total moment, the calculation gives 0.9284 μB per atom. The calculation puts the density at 9.941 g/cm³.

***

Most stable structure: (1)